! SmYMn4Ge4 (PBE-GGA, relaxed); values from VASP
! - space-group type = No. 123
&SYSTEM
  ibrav = 0, nat = 10, ntyp = 4
/
ATOMIC_SPECIES
Mn 54.94 Mn.upf
Ge 72.64 Ge.upf
Sm 150.36 Sm.upf
Y 88.91 Y.upf
CELL_PARAMETERS angstrom
-2.103 -2.254 -2.495
-1.111 -2.311 3.025
-8.670 6.291 1.623
ATOMIC_POSITIONS crystal
Mn 0.000 0.500 0.748
Mn 0.000 0.500 0.252
Mn 0.500 0.000 0.748
Mn 0.500 0.000 0.252
Ge 0.000 0.000 0.619
Ge 0.500 0.500 0.123
Ge 0.000 0.000 0.381
Ge 0.500 0.500 0.877
Sm 0.000 0.000 0.000
Y 0.500 0.500 0.500

! Mn3SnGe (PBE-GGA, relaxed); values from VASP
! - space-group type = No. 221
! - E above lowest polymorph (eV per formula unit) = 2.56
&SYSTEM
  ibrav = 0, nat = 5, ntyp = 3
/
ATOMIC_SPECIES
Mn 54.94 Mn.upf
Ge 72.64 Ge.upf
Sn 118.71 Sn.upf
CELL_PARAMETERS angstrom
-0.830 -4.883 0.618
4.841 -0.923 -0.793
0.890 0.467 4.889
ATOMIC_POSITIONS crystal
Mn 0.000 0.000 0.500
Mn 0.000 0.500 0.000
Mn 0.500 0.000 0.000
Ge 0.500 0.500 0.500
Sn 0.000 0.000 0.000

! Mn2SnGe2 (PBE-GGA, relaxed); values from VASP
! - space-group type = No. 139
&SYSTEM
  ibrav = 0, nat = 5, ntyp = 3
/
ATOMIC_SPECIES
Sn 118.71 Sn.upf
Ge 72.64 Ge.upf
Mn 54.94 Mn.upf
CELL_PARAMETERS angstrom
-1.884 -0.287 3.148
-2.597 -1.949 -1.732
0.763 -6.299 2.034
ATOMIC_POSITIONS crystal
Sn 0.000 0.000 0.000
Ge 0.750 0.250 0.500
Ge 0.250 0.750 0.500
Mn 0.396 0.396 0.207
Mn 0.604 0.604 0.793

! Mn3SnGe (PBE-GGA, relaxed); values from VASP
! - space-group type = No. 221
! - E above lowest polymorph (eV per formula unit) = 0.00
&SYSTEM
  ibrav = 0, nat = 5, ntyp = 3
/
ATOMIC_SPECIES
Ge 72.64 Ge.upf
Mn 54.94 Mn.upf
Sn 118.71 Sn.upf
CELL_PARAMETERS angstrom
-0.029 -4.695 1.554
2.797 -1.297 -3.867
4.079 0.857 2.663
ATOMIC_POSITIONS crystal
Ge 0.000 0.000 0.000
Mn 0.500 0.000 0.000
Mn 0.000 0.000 0.500
Mn 0.000 0.500 0.000
Sn 0.500 0.500 0.500

! MnSn2Ge2 (PBE-GGA, relaxed); values from VASP
! - space-group type = No. 127
&SYSTEM
  ibrav = 0, nat = 10, ntyp = 3
/
ATOMIC_SPECIES
Sn 118.71 Sn.upf
Mn 54.94 Mn.upf
Ge 72.64 Ge.upf
CELL_PARAMETERS angstrom
-5.421 3.014 2.444
0.571 -3.534 5.624
2.810 3.501 1.914
ATOMIC_POSITIONS crystal
Sn 0.316 0.184 0.500
Sn 0.684 0.816 0.500
Sn 0.184 0.684 0.500
Sn 0.816 0.316 0.500
Mn 0.500 0.500 0.000
Mn 0.000 0.000 0.000
Ge 0.139 0.361 0.000
Ge 0.361 0.861 0.000
Ge 0.639 0.139 0.000
Ge 0.861 0.639 0.000

! YMn6Sn4Ge2 (PBE-GGA, relaxed); values from VASP
! - space-group type = No. 191
&SYSTEM
  ibrav = 0, nat = 13, ntyp = 4
/
ATOMIC_SPECIES
Sn 118.71 Sn.upf
Ge 72.64 Ge.upf
Mn 54.94 Mn.upf
Y 88.91 Y.upf
CELL_PARAMETERS angstrom
1.066 2.431 4.642
-3.837 1.909 -3.199
-5.843 -5.059 3.990
ATOMIC_POSITIONS crystal
Sn 0.000 0.000 0.334
Sn 0.000 0.000 0.666
Sn 0.333 0.667 0.500
Sn 0.667 0.333 0.500
Ge 0.333 0.667 0.000
Ge 0.667 0.333 0.000
Mn 0.000 0.500 0.767
Mn 0.000 0.500 0.233
Mn 0.500 0.500 0.767
Mn 0.500 0.000 0.767
Mn 0.500 0.500 0.233
Mn 0.500 0.000 0.233
Y 0.000 0.000 0.000

! SrMn2Ge2 (PBE-GGA, relaxed); values from VASP
! - space-group type = No. 139
&SYSTEM
  ibrav = 0, nat = 5, ntyp = 3
/
ATOMIC_SPECIES
Ge 72.64 Ge.upf
Mn 54.94 Mn.upf
Sr 87.62 Sr.upf
CELL_PARAMETERS angstrom
-1.891 -3.609 0.049
1.834 -0.912 3.522
-4.345 4.593 1.093
ATOMIC_POSITIONS crystal
Ge 0.367 0.367 0.734
Ge 0.633 0.633 0.266
Mn 0.750 0.250 0.500
Mn 0.250 0.750 0.500
Sr 0.000 0.000 0.000

! SrMnGe2 (PBE-GGA, relaxed); values from VASP
! - space-group type = No. 166
&SYSTEM
  ibrav = 0, nat = 4, ntyp = 3
/
ATOMIC_SPECIES
Ge 72.64 Ge.upf
Sr 87.62 Sr.upf
Mn 54.94 Mn.upf
CELL_PARAMETERS angstrom
-1.592 -3.862 -0.160
-0.227 -2.017 -3.655
4.741 -4.202 -0.366
ATOMIC_POSITIONS crystal
Ge 0.715 0.715 0.856
Ge 0.285 0.285 0.144
Sr 0.500 0.500 0.500
Mn 0.000 0.000 0.000

! SrMnGe2 (PBE-GGA, relaxed); values from VASP
! - space-group type = No. 225
&SYSTEM
  ibrav = 0, nat = 4, ntyp = 3
/
ATOMIC_SPECIES
Ge 72.64 Ge.upf
Sr 87.62 Sr.upf
Mn 54.94 Mn.upf
CELL_PARAMETERS angstrom
-0.635 -0.411 4.799
-1.222 3.897 2.631
-4.458 0.348 1.899
ATOMIC_POSITIONS crystal
Ge 0.250 0.250 0.250
Ge 0.750 0.750 0.750
Sr 0.500 0.500 0.500
Mn 0.000 0.000 0.000

! Sr3MnGe (PBE-GGA, relaxed); values from VASP
! - space-group type = No. 221
! - E above lowest polymorph (eV per formula unit) = 0.00
&SYSTEM
  ibrav = 0, nat = 5, ntyp = 3
/
ATOMIC_SPECIES
Sr 87.62 Sr.upf
Ge 72.64 Ge.upf
Mn 54.94 Mn.upf
CELL_PARAMETERS angstrom
6.065 0.000 0.000
0.000 6.065 0.000
0.000 0.000 6.065
ATOMIC_POSITIONS crystal
Sr 0.000 0.500 0.000
Sr 0.500 0.000 0.000
Sr 0.000 0.000 0.500
Ge 0.000 0.000 0.000
Mn 0.500 0.500 0.500

! SrMnGe2 (PBE-GGA, relaxed); values from VASP
! - space-group type = No. 141
&SYSTEM
  ibrav = 0, nat = 8, ntyp = 3
/
ATOMIC_SPECIES
Ge 72.64 Ge.upf
Sr 87.62 Sr.upf
Mn 54.94 Mn.upf
CELL_PARAMETERS angstrom
5.139 0.000 0.000
0.000 5.139 0.000
2.569 2.569 7.357
ATOMIC_POSITIONS crystal
Ge 0.875 0.625 0.750
Ge 0.375 0.125 0.250
Ge 0.375 0.625 0.750
Ge 0.375 0.625 0.250
Sr 0.750 0.250 0.500
Sr 0.000 0.000 0.000
Mn 0.500 0.500 0.000
Mn 0.250 0.750 0.500

! SrTiMnGe2 (PBE-GGA, relaxed); values from VASP
! - space-group type = No. 123
&SYSTEM
  ibrav = 0, nat = 5, ntyp = 4
/
ATOMIC_SPECIES
Ti 47.87 Ti.upf
Sr 87.62 Sr.upf
Ge 72.64 Ge.upf
Mn 54.94 Mn.upf
CELL_PARAMETERS angstrom
-4.235 -1.398 0.728
-0.536 -1.235 -5.490
1.517 -4.182 0.793
ATOMIC_POSITIONS crystal
Ti 0.500 0.500 0.500
Sr 0.000 0.500 0.000
Ge 0.000 0.000 0.500
Ge 0.500 0.000 0.000
Mn 0.000 0.000 0.000

Quick rundown of energy relative to the elements, same order as above: -0.477; 1.118; 0.147; 0.607; 0.203; -0.221; -0.293; -0.299; 0.090; 0.263; -0.068; 0.665 eV/atom